# ZnAuCl2 PBE optimized geometry
# Energy above the most stable polymorph in this dataset = 0.29 eV/f.u.
# Spin magnetization = 0.000 μB/atom
# Energy relative to the elements, uncorrected = -0.381 eV/atom
# N(E_F) = 1.89 states/eV per cell
# Total DFT energy (no corrections) = -2.443 eV per atom
data_ZnAuCl2
_cell_length_a 3.3210
_cell_length_b 7.4925
_cell_length_c 8.8927
_cell_angle_alpha 90.00
_cell_angle_beta 90.00
_cell_angle_gamma 90.00
_symmetry_space_group_name_H-M 'I m m 2'
_symmetry_Int_Tables_number 44
loop_
_symmetry_equiv_pos_as_xyz
'x,y,z'
'-x,-y,z'
'-x,y,z'
'x,-y,z'
'x+1/2,y+1/2,z+1/2'
'-x+1/2,-y+1/2,z+1/2'
'-x+1/2,y+1/2,z+1/2'
'x+1/2,-y+1/2,z+1/2'
loop_
_atom_site_label
_atom_site_fract_x
_atom_site_fract_y
_atom_site_fract_z
Zn1 0.0000 0.0000 0.0000
Au1 0.0000 0.5000 0.7204
Cl1 0.0000 0.0000 0.4334
Cl2 0.0000 0.5000 0.3188